# 1
Here is a geometry-optimized HoScTiAl structure from Alexandria via LeMat-Bulk. Energies are from PBE-GGA.

Calculated values
- Energy of formation: -0.357 eV per formula unit

a = 7.055 Å, b = 7.055 Å, c = 7.055 Å
α = 90.00°, β = 90.00°, γ = 90.00°
Space group F-43m (No. 216)
One atom of each set of equivalent atoms:
Ho1 0.000 0.000 0.000 [4 per cell]
Sc1 0.000 0.000 0.500 [4 per cell]
Ti1 0.250 0.250 0.750 [4 per cell]
Al1 0.250 0.250 0.250 [4 per cell]

---

# 2
Here is a geometry-optimized Er3Mg7Hg2 structure from Alexandria via LeMat-Bulk. Energies are from PBE-GGA.

Calculated values
- Energy of formation: -1.568 eV per formula unit

a = 5.9921 Å, b = 5.9921 Å, c = 28.3555 Å
α = 90.00°, β = 90.00°, γ = 120.00°
Space group R-3m (No. 166, hexagonal axes)
One atom of each set of equivalent atoms:
Er1 0.0000 0.0000 0.0000 [3 per cell]
Er2 0.0000 0.0000 0.1446 [6 per cell]
Mg1 0.0000 0.0000 0.5000 [3 per cell]
Mg2 0.0050 0.5025 0.9181 [18 per cell]
Hg1 0.0000 0.0000 0.3342 [6 per cell]

---

# 3
Here is a geometry-optimized SrCaTb2S4 structure from Alexandria via LeMat-Bulk. Energies are from PBE-GGA.

Calculated values
- Raw formation energy: -47.13 kcal/mol of atoms

a = 6.928 Å, b = 4.002 Å, c = 7.071 Å
α = 90.00°, β = 109.08°, γ = 90.00°
Space group P2/m (No. 10)
One atom of each set of equivalent atoms:
Sr1 0.000 0.000 0.000 [1 per cell]
Ca1 0.500 0.500 0.000 [1 per cell]
Tb1 0.000 0.500 0.500 [1 per cell]
Tb2 0.500 0.000 0.500 [1 per cell]
S1 0.253 0.000 0.741 [2 per cell]
S2 0.260 0.500 0.264 [2 per cell]